Entry 1:
The following is a PBE calculation of a geometry-optimized Sm3Zn3Pd2 structure, from Alexandria.

Structure (CIF):
```
data_Sm3Zn3Pd2
_chemical_formula_sum 'Sm12 Zn12 Pd8'
_cell_length_a 7.8012
_cell_length_b 16.1529
_cell_length_c 5.5688
_cell_angle_alpha 90.00
_cell_angle_beta 90.00
_cell_angle_gamma 90.00
_symmetry_space_group_name_H-M 'P n m a'
_symmetry_Int_Tables_number 62
loop_
_symmetry_equiv_pos_as_xyz
'x,y,z'
'-x,-y,-z'
'-x+1/2,-y,z+1/2'
'x+1/2,y,-z+1/2'
'x+1/2,-y+1/2,-z+1/2'
'-x+1/2,y+1/2,z+1/2'
'-x,y+1/2,-z'
'x,-y+1/2,z'
loop_
_atom_site_label
_atom_site_type_symbol
_atom_site_fract_x
_atom_site_fract_y
_atom_site_fract_z
Sm1 Sm 0.0400 0.1056 0.1222
Sm2 Sm 0.1655 0.2500 0.6311
Zn1 Zn 0.1784 0.7500 0.6337
Zn2 Zn 0.1803 0.0323 0.5997
Pd1 Pd 0.1105 0.6143 0.3753
```

Results
Formation energy ... -446 kJ/mol of formula units
Total magnetic moment ... 0.0 μB/f.u.

***

Entry 2:
The following is a PBE calculation of a geometry-optimized Tb6CeEr2 structure, from Alexandria.

Structure (CIF):
```
data_Tb6CeEr2
_chemical_formula_sum 'Tb18 Ce3 Er6'
_cell_length_a 7.2656
_cell_length_b 7.2656
_cell_length_c 18.9310
_cell_angle_alpha 90.00
_cell_angle_beta 90.00
_cell_angle_gamma 120.00
_symmetry_space_group_name_H-M 'R 3 m'
_symmetry_Int_Tables_number 160
_symmetry_space_group_name_Hall 'R 3 -2"'
loop_
_atom_site_label
_atom_site_type_symbol
_atom_site_fract_x
_atom_site_fract_y
_atom_site_fract_z
Tb1 Tb 0.0107 0.5054 0.0000
Tb2 Tb 0.0363 0.5181 0.8065
Ce1 Ce 0.0000 0.0000 0.5532
Er1 Er 0.0000 0.0000 0.8138
Er2 Er 0.0000 0.0000 0.9908
```

Results
Formation energy ... 259 kJ/mol of formula units
Energy above the lowest structure with this stoichiometry ... 225 kJ/mol of formula units
Total magnetic moment ... 0.0 μB/f.u.

***

Entry 3:
The following is a PBE calculation of a geometry-optimized TcP2Os structure, from Alexandria.

Structure (CIF):
```
data_TcP2Os
_chemical_formula_sum 'Tc2 P4 Os2'
_cell_length_a 3.4929
_cell_length_b 3.4929
_cell_length_c 8.9405
_cell_angle_alpha 90.00
_cell_angle_beta 90.00
_cell_angle_gamma 90.00
_symmetry_space_group_name_H-M 'I -4 m 2'
_symmetry_Int_Tables_number 119
_symmetry_space_group_name_Hall 'I -4 -2'
loop_
_atom_site_label
_atom_site_type_symbol
_atom_site_fract_x
_atom_site_fract_y
_atom_site_fract_z
Tc1 Tc 0.0000 0.0000 0.0000
P1 P 0.0000 0.0000 0.5000
P2 P 0.0000 0.5000 0.2500
Os1 Os 0.0000 0.5000 0.7500
```

Results
Formation energy ... 100 kJ/mol of formula units
Energy above the lowest structure with this stoichiometry ... 218 kJ/mol of formula units
Total magnetic moment ... 0.3 μB/f.u.

***

Entry 4:
The following is a PBE calculation of a geometry-optimized InOsRh2 structure, from Alexandria.

Structure (CIF):
```
data_InOsRh2
_chemical_formula_sum 'In4 Os4 Rh8'
_cell_length_a 3.9949
_cell_length_b 3.9949
_cell_length_c 17.6019
_cell_angle_alpha 90.00
_cell_angle_beta 90.00
_cell_angle_gamma 90.00
_symmetry_space_group_name_H-M 'I -4 2 d'
_symmetry_Int_Tables_number 122
_symmetry_space_group_name_Hall 'I -4 2bw'
loop_
_atom_site_label
_atom_site_type_symbol
_atom_site_fract_x
_atom_site_fract_y
_atom_site_fract_z
In1 In 0.0000 0.0000 0.0000
Os1 Os 0.0000 0.0000 0.5000
Rh1 Rh 0.2195 0.2500 0.6250
```

Results
Formation energy ... 226 kJ/mol of formula units
Total magnetic moment ... 0.0 μB/f.u.

***

Entry 5:
The following is a PBE calculation of a geometry-optimized Mg2InHg6 structure, from Alexandria.

Structure (CIF):
```
data_Mg2InHg6
_chemical_formula_sum 'Mg4 In2 Hg12'
_cell_length_a 4.7919
_cell_length_b 4.7919
_cell_length_c 20.9653
_cell_angle_alpha 90.00
_cell_angle_beta 90.00
_cell_angle_gamma 90.00
_symmetry_space_group_name_H-M 'I 4/m m m'
_symmetry_Int_Tables_number 139
_symmetry_space_group_name_Hall '-I 4 2'
loop_
_atom_site_label
_atom_site_type_symbol
_atom_site_fract_x
_atom_site_fract_y
_atom_site_fract_z
Mg1 Mg 0.0000 0.0000 0.1708
In1 In 0.0000 0.0000 0.5000
Hg1 Hg 0.0000 0.5000 0.0904
Hg2 Hg 0.0000 0.5000 0.2500
```

Results
Formation energy ... -22 kJ/mol of formula units
Energy above the lowest structure with this stoichiometry ... 41 kJ/mol of formula units
Total magnetic moment ... 0.0 μB/f.u.

***

Entry 6:
The following is a PBE calculation of a geometry-optimized Pm3FeB2Pt9 structure, from Alexandria.

Structure (CIF):
```
data_Pm3FeB2Pt9
_chemical_formula_sum 'Pm3 Fe1 B2 Pt9'
_cell_length_a 5.7981
_cell_length_b 5.7981
_cell_length_c 9.2156
_cell_angle_alpha 90.00
_cell_angle_beta 90.00
_cell_angle_gamma 120.00
_symmetry_space_group_name_H-M 'P -3 m 1'
_symmetry_Int_Tables_number 164
_symmetry_space_group_name_Hall '-P 3 2"'
loop_
_atom_site_label
_atom_site_type_symbol
_atom_site_fract_x
_atom_site_fract_y
_atom_site_fract_z
Pm1 Pm 0.0000 0.0000 0.0000
Pm2 Pm 0.3333 0.6667 0.6033
Fe1 Fe 0.0000 0.0000 0.5000
B1 B 0.3333 0.6667 0.1488
Pt1 Pt 0.0000 0.5000 0.0000
Pt2 Pt 0.1655 0.3311 0.2899
```

Results
Formation energy ... -1075 kJ/mol of formula units
Total magnetic moment ... 3.7 μB/f.u.

***

Entry 7:
The following is a PBE calculation of a geometry-optimized Sb5Pb structure, from Alexandria.

Structure (CIF):
```
data_Sb5Pb
_chemical_formula_sum 'Sb10 Pb2'
_cell_length_a 12.8739
_cell_length_b 4.0467
_cell_length_c 8.2593
_cell_angle_alpha 90.00
_cell_angle_beta 111.85
_cell_angle_gamma 90.00
_symmetry_space_group_name_H-M 'C 1 m 1'
_symmetry_Int_Tables_number 8
loop_
_symmetry_equiv_pos_as_xyz
'x,y,z'
'x,-y,z'
'x+1/2,y+1/2,z'
'x+1/2,-y+1/2,z'
loop_
_atom_site_label
_atom_site_type_symbol
_atom_site_fract_x
_atom_site_fract_y
_atom_site_fract_z
Sb1 Sb 0.0000 0.0000 0.0000
Sb2 Sb 0.0045 0.0000 0.5256
Sb3 Sb 0.1954 0.5000 0.6757
Sb4 Sb 0.3869 0.0000 0.7054
Sb5 Sb 0.4255 0.0000 0.2140
Pb1 Pb 0.2132 0.5000 0.0553
```

Results
Energy above the lowest structure with this stoichiometry ... 0 kJ/mol of formula units
Total magnetic moment ... 0.0 μB/f.u.
Uncorrected formation energy ... 0.1288 eV/atom

***

Entry 8:
The following is a PBE calculation of a geometry-optimized Nd5Zn2Ga2 structure, from Alexandria.

Structure (CIF):
```
data_Nd5Zn2Ga2
_chemical_formula_sum 'Nd20 Zn8 Ga8'
_cell_length_a 16.2842
_cell_length_b 7.5921
_cell_length_c 8.0123
_cell_angle_alpha 90.00
_cell_angle_beta 90.00
_cell_angle_gamma 90.00
_symmetry_space_group_name_H-M 'C m c e'
_symmetry_Int_Tables_number 64
_symmetry_space_group_name_Hall '-C 2ac 2'
loop_
_atom_site_label
_atom_site_type_symbol
_atom_site_fract_x
_atom_site_fract_y
_atom_site_fract_z
Nd1 Nd 0.0000 0.0000 0.0000
Nd2 Nd 0.1441 0.1813 0.3223
Zn1 Zn 0.0000 0.1125 0.6190
Ga1 Ga 0.2107 0.0000 0.0000
```

Results
Formation energy ... -281 kJ/mol of formula units
Total magnetic moment ... 0.0 μB/f.u.

***

Entry 9:
The following is a PBE calculation of a geometry-optimized DyLuFe4 structure, from Alexandria.

Structure (CIF):
```
data_DyLuFe4
_chemical_formula_sum 'Dy4 Lu4 Fe16'
_cell_length_a 7.2039
_cell_length_b 7.2039
_cell_length_c 7.2039
_cell_angle_alpha 90.00
_cell_angle_beta 90.00
_cell_angle_gamma 90.00
_symmetry_space_group_name_H-M 'F -4 3 m'
_symmetry_Int_Tables_number 216
_symmetry_space_group_name_Hall 'F -4 2 3'
loop_
_atom_site_label
_atom_site_type_symbol
_atom_site_fract_x
_atom_site_fract_y
_atom_site_fract_z
Dy1 Dy 0.0000 0.0000 0.0000
Lu1 Lu 0.2500 0.2500 0.7500
Fe1 Fe 0.1249 0.1249 0.3751
```

Results
Formation energy ... -72 kJ/mol of formula units
Total magnetic moment ... 6.7 μB/f.u.

***

Entry 10:
The following is a PBE calculation of a geometry-optimized TbAl8Co2 structure, from Alexandria.

Structure (CIF):
```
data_TbAl8Co2
_chemical_formula_sum 'Tb1 Al8 Co2'
_cell_length_a 5.6100
_cell_length_b 5.6100
_cell_length_c 7.7231
_cell_angle_alpha 90.00
_cell_angle_beta 90.00
_cell_angle_gamma 90.00
_symmetry_space_group_name_H-M 'P 4/m m m'
_symmetry_Int_Tables_number 123
_symmetry_space_group_name_Hall '-P 4 2'
loop_
_atom_site_label
_atom_site_type_symbol
_atom_site_fract_x
_atom_site_fract_y
_atom_site_fract_z
Tb1 Tb 0.0000 0.0000 0.0000
Al1 Al 0.2499 0.2499 0.3237
Co1 Co 0.0000 0.5000 0.5000
```

Results
Formation energy ... 80 kJ/mol of formula units
Total magnetic moment ... 0.0 μB/f.u.

***

Entry 11:
The following is a PBE calculation of a geometry-optimized Tm2Ga3Ge2 structure, from Alexandria.

Structure (CIF):
```
data_Tm2Ga3Ge2
_chemical_formula_sum 'Tm2 Ga3 Ge2'
_cell_length_a 4.5882
_cell_length_b 3.2391
_cell_length_c 9.7282
_cell_angle_alpha 90.00
_cell_angle_beta 103.35
_cell_angle_gamma 90.00
_symmetry_space_group_name_H-M 'P 1 2/m 1'
_symmetry_Int_Tables_number 10
loop_
_symmetry_equiv_pos_as_xyz
'x,y,z'
'-x,-y,-z'
'-x,y,-z'
'x,-y,z'
loop_
_atom_site_label
_atom_site_type_symbol
_atom_site_fract_x
_atom_site_fract_y
_atom_site_fract_z
Tm1 Tm 0.1432 0.0000 0.2865
Ga1 Ga 0.0000 0.5000 0.0000
Ga2 Ga 0.2816 0.5000 0.5639
Ge1 Ge 0.4202 0.5000 0.8388
```

Results
Formation energy ... -283 kJ/mol of formula units
Total magnetic moment ... 0.0 μB/f.u.

***

Entry 12:
The following is a PBE calculation of a geometry-optimized CaAg2Te structure, from Alexandria.

Structure (CIF):
```
data_CaAg2Te
_chemical_formula_sum 'Ca2 Ag4 Te2'
_cell_length_a 8.0046
_cell_length_b 4.6310
_cell_length_c 6.2009
_cell_angle_alpha 90.00
_cell_angle_beta 115.57
_cell_angle_gamma 90.00
_symmetry_space_group_name_H-M 'C 1 m 1'
_symmetry_Int_Tables_number 8
loop_
_symmetry_equiv_pos_as_xyz
'x,y,z'
'x,-y,z'
'x+1/2,y+1/2,z'
'x+1/2,-y+1/2,z'
loop_
_atom_site_label
_atom_site_type_symbol
_atom_site_fract_x
_atom_site_fract_y
_atom_site_fract_z
Ca1 Ca 0.0000 0.0000 0.0000
Ag1 Ag 0.0182 0.5000 0.5552
Ag2 Ag 0.2342 0.0000 0.7032
Te1 Te 0.2747 0.5000 0.3240
```

Results
Total magnetic moment ... 0.0 μB/f.u.
Uncorrected formation energy ... -0.3997 eV/atom

***

Entry 13:
The following is a PBE calculation of a geometry-optimized CdTcW2I structure, from Alexandria.

Structure (CIF):
```
data_CdTcW2I
_chemical_formula_sum 'Cd1 Tc1 W2 I1'
_cell_length_a 4.8829
_cell_length_b 4.8829
_cell_length_c 5.2805
_cell_angle_alpha 90.00
_cell_angle_beta 90.00
_cell_angle_gamma 90.00
_symmetry_space_group_name_H-M 'P 4/m m m'
_symmetry_Int_Tables_number 123
_symmetry_space_group_name_Hall '-P 4 2'
loop_
_atom_site_label
_atom_site_type_symbol
_atom_site_fract_x
_atom_site_fract_y
_atom_site_fract_z
Cd1 Cd 0.0000 0.0000 0.0000
Tc1 Tc 0.5000 0.5000 0.0000
W1 W 0.0000 0.5000 0.5000
I1 I 0.0000 0.0000 0.5000
```

Results
Total magnetic moment ... 1.6 μB/f.u.
Uncorrected formation energy ... 2.9322 eV/atom

***

Entry 14:
The following is a PBE calculation of a geometry-optimized PW2Se structure, from Alexandria.

Structure (CIF):
```
data_PW2Se
_chemical_formula_sum 'P2 W4 Se2'
_cell_length_a 3.3398
_cell_length_b 4.9199
_cell_length_c 7.9203
_cell_angle_alpha 90.00
_cell_angle_beta 90.00
_cell_angle_gamma 90.00
_symmetry_space_group_name_H-M 'I m m m'
_symmetry_Int_Tables_number 71
_symmetry_space_group_name_Hall '-I 2 2'
loop_
_atom_site_label
_atom_site_type_symbol
_atom_site_fract_x
_atom_site_fract_y
_atom_site_fract_z
P1 P 0.0000 0.0000 0.0000
W1 W 0.0000 0.5000 0.2943
Se1 Se 0.0000 0.0000 0.5000
```

Results
Energy above the lowest structure with this stoichiometry ... 200 kJ/mol of formula units
Total magnetic moment ... 0.0 μB/f.u.
Uncorrected formation energy ... 0.5477 eV/atom

***

Entry 15:
The following is a PBE calculation of a geometry-optimized SmHo4Tm structure, from Alexandria.

Structure (CIF):
```
data_SmHo4Tm
_chemical_formula_sum 'Sm1 Ho4 Tm1'
_cell_length_a 4.5349
_cell_length_b 4.5349
_cell_length_c 10.8197
_cell_angle_alpha 90.00
_cell_angle_beta 90.00
_cell_angle_gamma 90.00
_symmetry_space_group_name_H-M 'P 4/m m m'
_symmetry_Int_Tables_number 123
_symmetry_space_group_name_Hall '-P 4 2'
loop_
_atom_site_label
_atom_site_type_symbol
_atom_site_fract_x
_atom_site_fract_y
_atom_site_fract_z
Sm1 Sm 0.0000 0.0000 0.0000
Ho1 Ho 0.0000 0.5000 0.2544
Tm1 Tm 0.5000 0.5000 0.5000
```

Results
Formation energy ... 358 kJ/mol of formula units
Energy above the lowest structure with this stoichiometry ... 356 kJ/mol of formula units
Total magnetic moment ... 0.0 μB/f.u.

***

Entry 16:
The following is a PBE calculation of a geometry-optimized La2Al3GaAu4 structure, from Alexandria.

Structure (CIF):
```
data_La2Al3GaAu4
_chemical_formula_sum 'La2 Al3 Ga1 Au4'
_cell_length_a 4.4974
_cell_length_b 4.4974
_cell_length_c 10.4712
_cell_angle_alpha 90.00
_cell_angle_beta 90.00
_cell_angle_gamma 90.00
_symmetry_space_group_name_H-M 'P -4 m 2'
_symmetry_Int_Tables_number 115
loop_
_symmetry_equiv_pos_as_xyz
'x,y,z'
'y,-x,-z'
'-x,-y,z'
'-y,x,-z'
'-x,y,z'
'-y,-x,-z'
'x,-y,z'
'y,x,-z'
loop_
_atom_site_label
_atom_site_type_symbol
_atom_site_fract_x
_atom_site_fract_y
_atom_site_fract_z
La1 La 0.0000 0.5000 0.2500
Al1 Al 0.0000 0.0000 0.0000
Al2 Al 0.0000 0.5000 0.6283
Ga1 Ga 0.5000 0.5000 0.0000
Au1 Au 0.0000 0.0000 0.5000
Au2 Au 0.0000 0.5000 0.8693
Au3 Au 0.5000 0.5000 0.5000
```

Results
Formation energy ... -722 kJ/mol of formula units
Total magnetic moment ... 0.0 μB/f.u.